This record from Alexandria describes a relaxed ZrTePb2 crystal. The functional is GGA-PBEsol.

a b c (Å): 3.5652 5.1912 5.5576
angles (deg): 90.00 90.00 90.00
Element x y z (fractional)
Zr (0.0000, 0.0000, 0.0000)
Te (0.5000, 0.5000, 0.0000)
Pb (0.0000, 0.5000, 0.5000)
Pb (0.5000, 0.0000, 0.5000)

Results
Final energy: -5.22 eV/atom
Space group: No. 47
M_tot: 0.0 μB per formula unit
Crystal system: orthorhombic
Formation energy from raw total energies: -0.3 eV per formula unit
V: 25.71 A^3/atom